Record 1
VASP calculation (PBE) on Sr8SnAu2 after structural relaxation.

Geometry as POSCAR:
```
Sr8SnAu2
1.0
4.994 -7.368 0.000
4.994 7.368 0.000
-1.515 0.000 5.915
Sr Sn Au
8 1 2
Cartesian
0.000 0.000 0.000
0.841 1.927 3.600
3.424 3.520 1.144
0.841 -1.927 3.600
4.491 1.925 4.604
3.424 -3.520 1.144
4.491 -1.925 4.604
6.858 0.000 2.292
3.432 0.000 1.139
2.667 4.646 4.103
2.667 -4.646 4.103
```

The calculated formation energy is -0.40 eV per atom.

Record 2
VASP calculation (PBE) on Pr2GePdO6 after structural relaxation.

Geometry as POSCAR:
```
Pr2GePdO6
1.0
5.203 0.000 0.000
-0.003 5.361 0.000
-2.118 -2.670 4.742
Pr Ge Pd O
2 1 1 6
Cartesian
0.140 0.007 2.261
2.942 2.684 2.481
-0.001 2.680 0.000
2.601 0.000 0.000
-0.888 -1.330 4.008
-0.883 1.344 4.008
0.711 2.678 1.738
2.371 0.013 3.004
3.964 1.347 0.734
3.970 4.021 0.734
```

The value obtained for the formation energy from raw total energies is -2240 meV per atom.

Record 3
VASP calculation (PBE) on NdGdCdIr after structural relaxation.

Geometry as POSCAR:
```
NdGdCdIr
1.0
0.000 3.641 3.641
3.641 0.000 3.641
3.641 3.641 0.000
Nd Gd Cd Ir
1 1 1 1
Cartesian
0.000 0.000 0.000
3.641 3.641 3.641
5.462 5.462 5.462
1.821 1.821 1.821
```

The calculated formation energy is -0.46 eV per atom.

Record 4
VASP calculation (PBE) on YTi3Fe after structural relaxation.

Geometry as POSCAR:
```
YTi3Fe
1.0
4.685 0.000 0.000
0.000 4.685 0.000
0.000 0.000 4.685
Y Ti Fe
1 3 1
Cartesian
0.000 0.000 0.000
0.000 0.000 2.342
0.000 2.342 0.000
2.342 0.000 0.000
2.342 2.342 2.342
```

The calculated formation energy is 1.97 eV per atom. The energy above the most stable polymorph in this dataset is 1840 meV/atom.

Record 5
VASP calculation (PBE) on SmGa4Fe after structural relaxation.

Geometry as POSCAR:
```
SmGa4Fe
1.0
-2.353 3.208 7.483
2.353 -3.208 7.483
2.353 3.208 -7.483
Sm Ga Fe
2 8 2
Cartesian
0.000 0.000 3.103
0.000 0.000 11.864
2.353 1.574 -1.599
0.000 1.171 0.000
2.353 0.000 5.223
2.353 1.574 1.599
0.000 1.634 5.884
0.000 3.208 2.260
0.000 5.245 0.000
0.000 1.634 9.083
1.219 3.208 0.000
1.134 0.000 7.483
```

The calculated formation energy is -0.35 eV per atom.

Record 6
VASP calculation (PBE) on Ca6AcZn2 after structural relaxation.

Geometry as POSCAR:
```
Ca6AcZn2
1.0
6.735 -1.908 0.000
6.735 1.908 0.000
-4.656 0.000 12.227
Ca Ac Zn
6 1 2
Cartesian
-0.941 0.000 3.875
3.527 0.000 1.556
2.486 0.000 5.011
6.328 0.000 7.216
5.286 0.000 10.671
9.755 0.000 8.352
0.000 0.000 0.000
0.855 0.000 9.630
7.958 0.000 2.597
```

The calculated formation energy is -0.08 eV per atom.

Number 1: total DFT energy (no corrections) -28.5 eV for the cell shown, D(E_F) 0.711 states/eV/atom. Number 2: total DFT energy (no corrections) -71.5 eV for the cell shown, D(E_F) 0.000 states/eV/atom. Number 3: total DFT energy (no corrections) -30.5 eV for the cell shown, D(E_F) 0.671 states/eV/atom. Number 4: total DFT energy (no corrections) -28.8 eV for the cell shown, D(E_F) 2.220 states/eV/atom. Number 5: total DFT energy (no corrections) -54.7 eV for the cell shown, D(E_F) 0.234 states/eV/atom. Number 6: total DFT energy (no corrections) -19.4 eV for the cell shown, D(E_F) 1.051 states/eV/atom.